No. 1
A geometry-optimized La2AlP structure. Source: Alexandria, functional PBE. Values from VASP.

Structure (Quantum ESPRESSO input):
```
&SYSTEM
  ibrav = 0, nat = 4, ntyp = 3
/
ATOMIC_SPECIES
P 30.97 P.upf
Al 26.98 Al.upf
La 138.91 La.upf
CELL_PARAMETERS angstrom
-3.2679 4.9951 -1.2746
-3.3432 3.9838 3.1950
3.2554 2.2763 0.5699
ATOMIC_POSITIONS angstrom
P -0.9303 5.4489 1.2173
Al -1.6170 3.0340 0.6593
La 0.3096 0.4159 0.0993
La -2.7959 7.9840 1.7595
```

Calculated values
* distance to the lowest polymorph of the same formula: 0.00 eV per formula unit
* ΔE_f: -0.831 eV per atom
* space-group type: No. 38

No. 2
A geometry-optimized SrLi2Pd structure. Source: Alexandria, functional PBE. Values from VASP.

Structure (Quantum ESPRESSO input):
```
&SYSTEM
  ibrav = 0, nat = 4, ntyp = 3
/
ATOMIC_SPECIES
Sr 87.62 Sr.upf
Pd 106.42 Pd.upf
Li 6.94 Li.upf
CELL_PARAMETERS angstrom
0.2827 0.8231 4.8503
0.3700 4.6107 1.6992
-3.7935 2.0627 2.3743
ATOMIC_POSITIONS angstrom
Sr 0.0000 0.0000 0.0000
Pd -1.5704 3.7483 4.4619
Li -0.7852 1.8741 2.2310
Li -2.3556 5.6224 6.6929
```

Calculated values
* distance to the lowest polymorph of the same formula: 0.60 eV per formula unit
* ΔE_f: -0.180 eV per atom
* space-group type: No. 225